Entry 1:
DFT (PBE) results for a relaxed structure of Ho5Sc4Ga4.

a = 4.596 Å, b = 8.580 Å, c = 8.580 Å
α = 85.89°, β = 74.46°, γ = 74.46°
Element x y z (fractional)
Ho 0.694 0.921 0.691
Ho 0.306 0.079 0.309
Ho 0.000 0.000 0.000
Ho 0.615 0.691 0.079
Ho 0.385 0.309 0.921
Sc 0.899 0.509 0.692
Sc 0.591 0.308 0.509
Sc 0.101 0.491 0.308
Sc 0.409 0.692 0.491
Ga 0.754 0.327 0.164
Ga 0.246 0.673 0.836
Ga 0.919 0.836 0.327
Ga 0.081 0.164 0.673

## Properties
The formation energy from the elements comes out at -417 meV/atom. For the calculated volume, the calculation gives 24.2 A^3/atom. Its magnetic moment is 0.00 μB/cell.



Entry 2:
DFT (PBE) results for a relaxed structure of SmAlGa.

a = 4.323 Å, b = 4.323 Å, c = 4.164 Å
α = 90.00°, β = 90.00°, γ = 120.00°
Element x y z (fractional)
Ga 0.000 0.000 0.500
Sm 0.333 0.667 0.000
Al 0.667 0.333 0.500

## Properties
The formation energy from the elements comes out at -592 meV/atom. For the calculated volume, the calculation gives 22.5 A^3/atom. Its magnetic moment is 0.00 μB/cell.



Entry 3:
DFT (PBE) results for a relaxed structure of Er2NbS4.

a = 3.782 Å, b = 6.907 Å, c = 7.162 Å
α = 119.99°, β = 105.31°, γ = 90.00°
Element x y z (fractional)
Er 0.730 0.741 0.459
Er 0.270 0.259 0.541
Nb 0.000 0.000 0.000
S 0.886 0.193 0.771
S 0.114 0.807 0.229
S 0.628 0.274 0.256
S 0.372 0.726 0.744

## Properties
For the calculated volume, the calculation gives 22.0 A^3/atom. The raw formation energy is -1.57 eV/atom. Its magnetic moment is 1.15 μB/cell.



Entry 4:
DFT (PBE) results for a relaxed structure of MgSNO2.

a = 3.789 Å, b = 3.789 Å, c = 3.403 Å
α = 90.00°, β = 90.00°, γ = 90.00°
Element x y z (fractional)
S 0.000 0.000 0.000
Mg 0.500 0.500 0.500
O 0.000 0.500 0.000
O 0.500 0.000 0.000
N 0.000 0.000 0.500

## Properties
For the calculated volume, the calculation gives 9.8 A^3/atom. The raw formation energy is -0.08 eV/atom. Its magnetic moment is 0.00 μB/cell.



Entry 5:
DFT (PBE) results for a relaxed structure of SmThSnPb.

a = 5.509 Å, b = 5.509 Å, c = 5.509 Å
α = 60.00°, β = 60.00°, γ = 60.00°
Element x y z (fractional)
Pb 0.750 0.750 0.750
Sm 0.500 0.500 0.500
Th 0.000 0.000 0.000
Sn 0.250 0.250 0.250

## Properties
The formation energy from the elements comes out at -372 meV/atom. For the calculated volume, the calculation gives 29.6 A^3/atom. Its magnetic moment is 0.00 μB/cell.



Entry 6:
DFT (PBE) results for a relaxed structure of CaCu4Si.

a = 3.941 Å, b = 6.410 Å, c = 7.661 Å
α = 90.00°, β = 104.90°, γ = 90.00°
Element x y z (fractional)
Ca 0.115 0.250 0.231
Ca 0.885 0.750 0.769
Cu 0.500 0.500 0.000
Cu 0.500 0.000 0.000
Cu 0.680 0.937 0.359
Cu 0.320 0.063 0.641
Cu 0.320 0.437 0.641
Cu 0.680 0.563 0.359
Cu 0.077 0.750 0.153
Cu 0.923 0.250 0.847
Si 0.235 0.750 0.471
Si 0.765 0.250 0.529

## Properties
For the calculated volume, the calculation gives 15.6 A^3/atom. The raw formation energy is -0.09 eV/atom. Its magnetic moment is 0.00 μB/cell.